# Na2Er2B2O7

A PBEsol-optimized structure of Na2Er2B2O7 (meta-GGA SCAN, Alexandria via LeMat-Bulk).

## Properties
- calculated volume (A^3/atom) = 11.11
- uncorrected energy (eV/atom) = -15.971
- raw formation energy (eV/atom) = -3.08

a = 6.1458 Å, b = 10.1036 Å, c = 10.4975 Å
α = 117.60°, β = 90.00°, γ = 90.00°
With the nearest neighbours (Å) after each atom.
Atoms (fractional coordinates):
Na (0.4424, 0.7612, 0.5246)  6 O 2.30-2.56
Na (0.0576, 0.2612, 0.5246)  6 O 2.30-2.56
Na (0.7661, 0.5512, 0.6126)  5 O 2.31-2.57
Na (0.2339, 0.4488, 0.3874)  5 O 2.31-2.57
Na (0.5576, 0.2388, 0.4754)  6 O 2.30-2.56
Na (0.2661, 0.9488, 0.3874)  5 O 2.31-2.57
Na (0.9424, 0.7388, 0.4754)  6 O 2.30-2.56
Na (0.7339, 0.0512, 0.6126)  5 O 2.31-2.57
Er (0.5379, 0.1834, 0.9848)  8 O 2.22-2.45
Er (0.0379, 0.3166, 0.0152)  8 O 2.22-2.45
Er (0.5823, 0.5850, 0.1811)  7 O 2.21-2.47
Er (0.0823, 0.9150, 0.8189)  7 O 2.21-2.47
Er (0.4621, 0.8166, 0.0152)  8 O 2.22-2.45
Er (0.9621, 0.6834, 0.9848)  8 O 2.22-2.45
Er (0.4177, 0.4150, 0.8189)  7 O 2.21-2.47
Er (0.9177, 0.0850, 0.1811)  7 O 2.21-2.47
B (0.8454, 0.3545, 0.7953)  3 O 1.36-1.40
B (0.7482, 0.9171, 0.3134)  3 O 1.37-1.41
B (0.7518, 0.4171, 0.3134)  3 O 1.37-1.41
B (0.2482, 0.5829, 0.6866)  3 O 1.37-1.41
B (0.3454, 0.1455, 0.2047)  3 O 1.36-1.40
B (0.1546, 0.6455, 0.2047)  3 O 1.36-1.40
B (0.6546, 0.8545, 0.7953)  3 O 1.36-1.40
B (0.2518, 0.0829, 0.6866)  3 O 1.37-1.41
O (0.7393, 0.2728, 0.8543)  1 B 1.40
O (0.3360, 0.4445, 0.6034)  1 B 1.37
O (0.7494, 0.8671, 0.6847)  1 B 1.36
O (0.2393, 0.2272, 0.1457)  1 B 1.40
O (0.2494, 0.6329, 0.3153)  1 B 1.36
O (0.1640, 0.9445, 0.6034)  1 B 1.37
O (0.2340, 0.1348, 0.8364)  1 B 1.41
O (0.2506, 0.1329, 0.3153)  1 B 1.36
O (0.6450, 0.8318, 0.3654)  1 B 1.37
O (0.2660, 0.6348, 0.8364)  1 B 1.41
O (0.4547, 0.9160, 0.8536)  1 B 1.39
O (0.0453, 0.4160, 0.8536)  1 B 1.39
O (0.1450, 0.6682, 0.6346)  1 B 1.37
O (0.8550, 0.3318, 0.3654)  1 B 1.37
O (0.6269, 0.5957, 0.9731)  4 Er 2.21-2.30
O (0.7506, 0.3671, 0.6847)  1 B 1.36
O (0.8360, 0.0555, 0.3966)  1 B 1.37
O (0.7340, 0.3652, 0.1636)  1 B 1.41
O (0.8731, 0.0957, 0.9731)  4 Er 2.21-2.30
O (0.5453, 0.0840, 0.1464)  1 B 1.39
O (0.2607, 0.7272, 0.1457)  1 B 1.40
O (0.7660, 0.8652, 0.1636)  1 B 1.41
O (0.9547, 0.5840, 0.1464)  1 B 1.39
O (0.3550, 0.1682, 0.6346)  1 B 1.37
O (0.6640, 0.5555, 0.3966)  1 B 1.37
O (0.1269, 0.9043, 0.0269)  4 Er 2.21-2.30
O (0.3731, 0.4043, 0.0269)  4 Er 2.21-2.30
O (0.7607, 0.7728, 0.8543)  1 B 1.40

# Cd2HgPb

A PBEsol-optimized structure of Cd2HgPb (meta-GGA SCAN, Alexandria via LeMat-Bulk).

## Properties
- calculated volume (A^3/atom) = 24.05
- uncorrected energy (eV/atom) = -51.128
- DFT formation energy (kJ per mole of atoms) = 6.34

a = 3.4448 Å, b = 5.3854 Å, c = 6.0911 Å
α = 116.24°, β = 106.43°, γ = 90.00°
With the nearest neighbours (Å) after each atom.
Atoms (fractional coordinates):
Pb (0.2506, 0.7506, 0.5011)  6 Cd 3.20-3.23, 2 Hg 3.24, 2 Pb 3.44
Hg (0.4864, 0.4864, 0.9727)  6 Cd 3.00-3.21, 2 Pb 3.24
Cd (0.0136, 0.0136, 0.0272)  2 Cd 2.99, 4 Hg 3.21, 2 Pb 3.23
Cd (0.7495, 0.2495, 0.4990)  2 Cd 2.99, 2 Hg 3.00, 4 Pb 3.20

# In2SbAu

A PBEsol-optimized structure of In2SbAu (meta-GGA SCAN, Alexandria via LeMat-Bulk).

## Properties
- calculated volume (A^3/atom) = 22.96
- uncorrected energy (eV/atom) = -43.196
- raw formation energy (eV/atom) = 0.10

a = 4.6761 Å, b = 4.6761 Å, c = 5.3450 Å
α = 115.94°, β = 115.94°, γ = 90.00°
With the nearest neighbours (Å) after each atom.
Atoms (fractional coordinates):
Au (0.2500, 0.7500, 0.5000)  8 In 3.14-3.31, 4 Sb 3.14
In (0.0000, 0.0000, 0.0000)  4 In 3.14, 4 Au 3.14, 4 Sb 3.31
In (0.7500, 0.2500, 0.5000)  4 Sb 3.14, 4 In 3.14, 4 Au 3.31
Sb (0.5000, 0.5000, 0.0000)  8 In 3.14-3.31, 4 Au 3.14